# 1
A relaxed structure of CrIn2PdS, computed with PBE-GGA.

Output
Uncorrected energy in eV per atom: -4.444
Theoretical density in g/cm³: 5.404
Density of states at the Fermi level in states/eV/cell: 2.45

The structure in CIF format:
```
data_CrIn2PdS
_symmetry_space_group_name_H-M 'P 1'
_symmetry_Int_Tables_number 1
_cell_length_a 5.269
_cell_length_b 5.269
_cell_length_c 4.650
_cell_angle_alpha 90.00
_cell_angle_beta 90.00
_cell_angle_gamma 90.00
loop_
_symmetry_equiv_pos_as_xyz
'x,y,z'
loop_
_atom_site_label
_atom_site_type_symbol
_atom_site_fract_x
_atom_site_fract_y
_atom_site_fract_z
_atom_site_occupancy
Cr1 Cr 0.000 0.000 0.000 1
In1 In 0.000 0.500 0.500 1
In2 In 0.500 0.000 0.500 1
Pd1 Pd 0.500 0.500 0.500 1
S1 S 0.500 0.500 0.000 1
```

=====

# 2
A relaxed structure of Ac2Zn12Cu3Au, computed with PBE-GGA.

Output
Theoretical density in g/cm³: 6.634
Density of states at the Fermi level in states/eV/cell: 10.56
Energy relative to the elements in kJ/mol of atoms: 13

The structure in CIF format:
```
data_Ac2Zn12Cu3Au
_symmetry_space_group_name_H-M 'P 1'
_symmetry_Int_Tables_number 1
_cell_length_a 8.318
_cell_length_b 8.318
_cell_length_c 8.318
_cell_angle_alpha 60.02
_cell_angle_beta 60.02
_cell_angle_gamma 60.02
loop_
_symmetry_equiv_pos_as_xyz
'x,y,z'
loop_
_atom_site_label
_atom_site_type_symbol
_atom_site_fract_x
_atom_site_fract_y
_atom_site_fract_z
_atom_site_occupancy
Ac1 Ac 0.101 0.101 0.101 1
Ac2 Ac 0.899 0.899 0.899 1
Zn1 Zn 0.131 0.619 0.619 1
Zn2 Zn 0.164 0.164 0.503 1
Zn3 Zn 0.164 0.503 0.164 1
Zn4 Zn 0.381 0.381 0.869 1
Zn5 Zn 0.381 0.869 0.381 1
Zn6 Zn 0.497 0.836 0.836 1
Zn7 Zn 0.503 0.164 0.164 1
Zn8 Zn 0.619 0.131 0.619 1
Zn9 Zn 0.619 0.619 0.131 1
Zn10 Zn 0.836 0.497 0.836 1
Zn11 Zn 0.836 0.836 0.497 1
Zn12 Zn 0.869 0.381 0.381 1
Cu1 Cu 0.000 0.500 0.500 1
Cu2 Cu 0.500 0.000 0.500 1
Cu3 Cu 0.500 0.500 0.000 1
Au1 Au 0.500 0.500 0.500 1
```